(a)
Density functional theory data (GGA-PBE) for a relaxed LaTmGaPd crystal.

Lattice parameters (Å, degrees): 4.5366 5.8349 5.8349 39.51 90.00 90.00
Sites, in units of the cell vectors:
1 La 0.0000 0.0000 0.0000
2 Tm 0.5000 0.7151 0.7151
3 Ga 0.5000 0.4229 0.4229
4 Pd 0.0000 0.2757 0.2757

Symmetry: Amm2 (38)

---

(b)
Density functional theory data (GGA-PBE) for a relaxed LaTmGaPd crystal.

Lattice parameters (Å, degrees): 5.1295 5.1295 5.1295 60.00 60.00 60.00
Sites, in units of the cell vectors:
1 La 0.0000 0.0000 0.0000
2 Tm 0.5000 0.5000 0.5000
3 Ga 0.7500 0.7500 0.7500
4 Pd 0.2500 0.2500 0.2500

Symmetry: F-43m (216)

---

Ordering by calculated energy gives the sequence (a), (b), with the first entry being the most stable.

---

(a)
Density functional theory data (GGA-PBE) for a relaxed LaYGaPd crystal.

Lattice parameters (Å, degrees): 5.1691 5.1691 5.1691 60.00 60.00 60.00
Sites, in units of the cell vectors:
1 La 0.0000 0.0000 0.0000
2 Y 0.5000 0.5000 0.5000
3 Ga 0.7500 0.7500 0.7500
4 Pd 0.2500 0.2500 0.2500

Symmetry: F-43m (216)

---

(b)
Density functional theory data (GGA-PBE) for a relaxed LaYGaPd crystal.

Lattice parameters (Å, degrees): 4.5070 5.6416 5.6416 44.80 90.00 90.00
Sites, in units of the cell vectors:
1 La 0.0000 0.0000 0.0000
2 Y 0.5000 0.7161 0.7161
3 Ga 0.5000 0.4208 0.4208
4 Pd 0.0000 0.2780 0.2780

Symmetry: Amm2 (38)

---

Ordering by calculated energy gives the sequence (b), (a), with the first entry being the most stable.